Density functional theory data (PBE) for an optimized crystal structure of TiGe3Ru.

Results
* total magnetic moment: 0.01 μB per formula unit
* N(E_F): 2.774 states/eV per atom
* symmetry: Pm-3m, No. 221
* VASP energy: -5.589 eV/atom
* distance to the lowest polymorph of the same formula: 0.000 eV per atom
* crystal system: cubic
* energy relative to the elements: 0.62 eV per atom
* V: 21.43 Å³/atom

Unit cell a=4.750 b=4.750 c=4.750 alpha=90.00 beta=90.00 gamma=90.00
Element x y z (fractional)
Ti (0.000, 0.000, 0.000)
Ge (0.000, 0.500, 0.500)
Ge (0.500, 0.000, 0.500)
Ge (0.500, 0.500, 0.000)
Ru (0.500, 0.500, 0.500)